(1)
# PBE LaTcNF2, optimized geometry
data_LaTcNF2
_space_group_name_H-M_alt 'P 1'
_space_group_IT_number 1
_space_group_name_Hall 'P 1'
_cell_length_a 4.321
_cell_length_b 4.321
_cell_length_c 3.896
_cell_angle_alpha 90.00
_cell_angle_beta 90.00
_cell_angle_gamma 90.00
loop_
_atom_site_label
_atom_site_fract_x
_atom_site_fract_y
_atom_site_fract_z
F1 0.500 0.000 0.000
F2 0.000 0.500 0.000
Tc1 0.000 0.000 0.000
La1 0.500 0.500 0.500
N1 0.000 0.000 0.500
# E_form (uncorrected) = -1.341 eV/atom
# Calculated volume = 72.7 Å³/f.u.


(2)
# PBE LaTeNF2, optimized geometry
data_LaTeNF2
_space_group_name_H-M_alt 'P 1'
_space_group_IT_number 1
_space_group_name_Hall 'P 1'
_cell_length_a 4.733
_cell_length_b 4.733
_cell_length_c 4.192
_cell_angle_alpha 90.00
_cell_angle_beta 90.00
_cell_angle_gamma 90.00
loop_
_atom_site_label
_atom_site_fract_x
_atom_site_fract_y
_atom_site_fract_z
Te1 0.000 0.000 0.000
La1 0.500 0.500 0.500
N1 0.000 0.000 0.500
F1 0.000 0.500 0.000
F2 0.500 0.000 0.000
# E_form (uncorrected) = -0.918 eV/atom
# Calculated volume = 93.9 Å³/f.u.


(3)
# PBE LaTeNF2, optimized geometry
data_LaTeNF2
_space_group_name_H-M_alt 'P 1'
_space_group_IT_number 1
_space_group_name_Hall 'P 1'
_cell_length_a 4.473
_cell_length_b 4.473
_cell_length_c 5.327
_cell_angle_alpha 90.00
_cell_angle_beta 90.00
_cell_angle_gamma 90.00
loop_
_atom_site_label
_atom_site_fract_x
_atom_site_fract_y
_atom_site_fract_z
La1 0.000 0.000 0.000
N1 0.000 0.000 0.500
F1 0.500 0.000 0.000
F2 0.000 0.500 0.000
Te1 0.500 0.500 0.500
# E_form (uncorrected) = -1.448 eV/atom
# Calculated volume = 106.6 Å³/f.u.


(4)
# PBE LaTeN2F, optimized geometry
data_LaTeN2F
_space_group_name_H-M_alt 'P 1'
_space_group_IT_number 1
_space_group_name_Hall 'P 1'
_cell_length_a 4.300
_cell_length_b 4.300
_cell_length_c 4.341
_cell_angle_alpha 90.00
_cell_angle_beta 90.00
_cell_angle_gamma 90.00
loop_
_atom_site_label
_atom_site_fract_x
_atom_site_fract_y
_atom_site_fract_z
N1 0.500 0.000 0.000
N2 0.000 0.500 0.000
F1 0.000 0.000 0.500
Te1 0.000 0.000 0.000
La1 0.500 0.500 0.500
# E_form (uncorrected) = -0.440 eV/atom
# Calculated volume = 80.3 Å³/f.u.